5
Lattice="5.3762 0.0000 0.0000 0.0000 4.9493 0.0000 0.0000 0.0000 5.3762" Properties=species:S:1:pos:R:3 comment="MgZr2TlAu | the Alexandria database | PBE | relaxed" e_form_ev_per_atom=0.934 space_group="P4/mmm (123)" pbc="T T T"
Au 2.6881 2.4746 2.6881
Zr 0.0000 0.0000 2.6881
Zr 2.6881 0.0000 0.0000
Tl 0.0000 0.0000 0.0000
Mg 0.0000 2.4746 0.0000

11
Lattice="-3.3823 1.5653 -1.1676 -3.3372 -2.1236 6.8201 5.2248 6.4151 -0.0031" Properties=species:S:1:pos:R:3 comment="Tb3Mg4Ni4 | the Alexandria database | PBE | relaxed" e_form_ev_per_atom=-0.245 space_group="Immm (71)" pbc="T T T"
Ni -0.6931 4.0664 0.9270
Ni -2.2581 0.4219 0.5749
Ni -0.8017 1.7904 4.7224
Ni -4.4614 -0.9802 5.0777
Tb 0.4388 1.4436 0.6642
Tb -1.6686 -1.0618 3.4101
Tb -1.9335 4.4132 4.9852
Mg 0.5902 3.6302 3.1569
Mg -2.0849 2.2266 2.4926
Mg 1.8627 4.4400 0.5563
Mg -3.3575 1.4168 5.0932

5
Lattice="-2.1255 1.6554 3.0524 2.1635 -2.1680 2.6823 4.4547 4.6797 3.2792" Properties=species:S:1:pos:R:3 comment="CdSn2Pd2 | the Alexandria database | PBE | relaxed" e_form_ev_per_atom=-0.172 polymorph_energy_mev_per_atom=244 space_group="I4/mmm (139)" pbc="T T T"
Pd 3.3186 1.1277 4.4144
Pd 1.1741 3.0394 4.5995
Sn 1.0326 0.8716 2.9615
Sn 3.4601 3.2955 6.0524
Cd 0.0000 0.0000 0.0000

5
Lattice="5.3460 0.0000 0.0000 0.0000 5.7273 0.0000 0.0000 0.0000 5.3460" Properties=species:S:1:pos:R:3 comment="SrCaHf2Cd | the Alexandria database | PBE | relaxed" e_form_ev_per_atom=1.470 space_group="P4/mmm (123)" pbc="T T T"
Sr 0.0000 0.0000 0.0000
Hf 2.6730 0.0000 0.0000
Hf 0.0000 0.0000 2.6730
Cd 0.0000 2.8637 0.0000
Ca 2.6730 2.8637 2.6730